# 1
VASP calculation (PBE-GGA) on a relaxed structure of La3SmAg4.

Properties
DOS at the Fermi energy = 7.05 states/eV/cell
formation enthalpy at 0 K = -25 kJ per mole of atoms

Lattice parameters (Å, degrees): 3.7879 3.7879 15.2405 90.00 90.00 90.00
Closest atoms and distances in Å follow each position.
Space group P4/mmm (No. 123)
Symmetry-distinct sites (fractional):
La 0.0000 0.0000 0.0000 (multiplicity 1)  8 Ag 3.30
La 0.0000 0.0000 0.2535 (multiplicity 2)  8 Ag 3.30-3.35
Sm 0.0000 0.0000 0.5000 (multiplicity 1)  8 Ag 3.20
Ag 0.5000 0.5000 0.1269 (multiplicity 2)  8 La 3.30
Ag 0.5000 0.5000 0.3852 (multiplicity 2)  4 Sm 3.20, 4 La 3.35, 1 Ag 3.50

=====

# 2
VASP calculation (PBE-GGA) on a relaxed structure of Ce4Ge2H.

Properties
final energy = -80.18 eV for the cell shown
DOS at the Fermi energy = 36.61 states/eV/cell

Lattice parameters (Å, degrees): 4.4437 4.4437 16.4434 90.00 90.00 90.00
Closest atoms and distances in Å follow each position.
Space group I4/mmm (No. 139)
Symmetry-distinct sites (fractional):
Ce 0.0000 0.0000 0.1792 (multiplicity 4)  1 H 2.95, 5 Ge 3.06-3.23
Ce 0.0000 0.5000 0.0000 (multiplicity 4)  2 H 2.22
Ge 0.0000 0.0000 0.3652 (multiplicity 4)  9 Ce 3.06-3.23
H 0.0000 0.0000 0.0000 (multiplicity 2)  4 Ce 2.22

=====

# 3
VASP calculation (PBE-GGA) on a relaxed structure of NdErInRh.

Properties
DOS at the Fermi energy = 13.16 states/eV/cell
formation enthalpy at 0 K = -48 kJ per mole of atoms

Lattice parameters (Å, degrees): 7.3003 7.3003 7.3003 90.00 90.00 90.00
Closest atoms and distances in Å follow each position.
Space group F-43m (No. 216)
Symmetry-distinct sites (fractional):
Nd 0.0000 0.0000 0.0000 (multiplicity 4)  4 In 3.16, 4 Rh 3.16
Er 0.0000 0.0000 0.5000 (multiplicity 4)  4 In 3.16, 4 Rh 3.16
In 0.2500 0.2500 0.7500 (multiplicity 4)  4 Er 3.16, 4 Nd 3.16
Rh 0.2500 0.2500 0.2500 (multiplicity 4)  4 Er 3.16, 4 Nd 3.16

=====

# 4
VASP calculation (PBE-GGA) on a relaxed structure of FeCo3.

Properties
DOS at the Fermi energy = 15.51 states/eV/cell
formation enthalpy at 0 K = 2 kJ per mole of atoms

Lattice parameters (Å, degrees): 4.3358 8.1760 5.0120 90.00 90.00 90.00
Closest atoms and distances in Å follow each position.
Space group Pnma (No. 62)
Symmetry-distinct sites (fractional):
Fe 0.0842 0.2500 0.1229 (multiplicity 4)  10 Co 2.48-2.55, 2 Fe 2.51
Co 0.0860 0.2500 0.6239 (multiplicity 4)  8 Co 2.47-2.52, 4 Fe 2.49-2.51
Co 0.2436 0.5038 0.3737 (multiplicity 8)  9 Co 2.46-2.56, 3 Fe 2.48-2.55

=====

# 5
VASP calculation (PBE-GGA) on a relaxed structure of CaMgSn5.

Properties
DOS at the Fermi energy = 6.16 states/eV/cell
formation enthalpy at 0 K = -17 kJ per mole of atoms

Lattice parameters (Å, degrees): 6.3711 9.6762 6.4524 90.00 90.60 90.00
Closest atoms and distances in Å follow each position.
Space group C2/m (No. 12)
Symmetry-distinct sites (fractional):
Ca 0.0000 0.0000 0.0000 (multiplicity 2)  10 Sn 3.19-3.37
Mg 0.0000 0.5000 0.5000 (multiplicity 2)  10 Sn 3.23-3.28
Sn 0.0000 0.5000 0.0000 (multiplicity 2)  2 Ca 3.19, 2 Mg 3.23, 8 Sn 3.36-3.37
Sn 0.2493 0.2499 0.7339 (multiplicity 8)  5 Sn 3.02-3.37, 2 Mg 3.26-3.28, 2 Ca 3.36-3.37

=====

# 6
VASP calculation (PBE-GGA) on a relaxed structure of Na3Y3HfS8.

Properties
DOS at the Fermi energy = 0.00 states/eV/cell
energy relative to the elements, uncorrected = -1799 meV/atom

Lattice parameters (Å, degrees): 7.8485 7.8485 20.2654 90.00 90.00 120.00
Closest atoms and distances in Å follow each position.
Space group R-3m (No. 166, hexagonal axes)
Symmetry-distinct sites (fractional):
Na 0.0000 0.5000 0.0000 (multiplicity 9)  6 S 2.92
Y 0.0000 0.5000 0.5000 (multiplicity 9)  6 S 2.74-2.75
Hf 0.0000 0.0000 0.5000 (multiplicity 3)  6 S 2.58
S 0.0000 0.0000 0.2424 (multiplicity 6)  3 Y 2.74, 3 Na 2.92
S 0.0196 0.5098 0.2386 (multiplicity 18)  1 Hf 2.58, 2 Y 2.75

=====

# 7
VASP calculation (PBE-GGA) on a relaxed structure of ZrAl.

Properties
DOS at the Fermi energy = 12.74 states/eV/cell
formation enthalpy at 0 K = -10 kJ per mole of atoms

Lattice parameters (Å, degrees): 4.3932 4.3932 14.9433 90.00 90.00 120.00
Closest atoms and distances in Å follow each position.
Space group R-3m (No. 166, hexagonal axes)
Symmetry-distinct sites (fractional):
Zr 0.0000 0.0000 0.1035 (multiplicity 6)  6 Al 2.90-3.04, 4 Zr 3.09-3.16
Al 0.0000 0.0000 0.3244 (multiplicity 6)  3 Al 2.55

=====

# 8
VASP calculation (PBE-GGA) on a relaxed structure of TbPrAgRu.

Properties
DOS at the Fermi energy = 2.48 states/eV/cell
formation enthalpy at 0 K = -29 kJ per mole of atoms
energy relative to the lowest polymorph listed for this composition = 0 meV per atom

Lattice parameters (Å, degrees): 3.4910 3.4910 7.6893 90.00 90.00 90.00
Closest atoms and distances in Å follow each position.
Space group P4mm (No. 99)
Symmetry-distinct sites (fractional):
Tb 0.0000 0.0000 0.0000 (multiplicity 1)  4 Ru 2.95, 4 Ag 3.17
Pr 0.0000 0.0000 0.4466 (multiplicity 1)  4 Ru 3.06, 4 Ag 3.35
Ag 0.5000 0.5000 0.7412 (multiplicity 1)  4 Tb 3.17, 4 Pr 3.35, 4 Ag 3.49
Ru 0.5000 0.5000 0.2112 (multiplicity 1)  4 Tb 2.95, 4 Pr 3.06

=====

# 9
VASP calculation (PBE-GGA) on a relaxed structure of CoMoW.

Properties
DOS at the Fermi energy = 12.32 states/eV/cell
formation enthalpy at 0 K = 94 kJ per mole of atoms
energy relative to the lowest polymorph listed for this composition = 970 meV per atom

Lattice parameters (Å, degrees): 5.8935 5.8935 5.8935 90.00 90.00 90.00
Closest atoms and distances in Å follow each position.
Space group F-43m (No. 216)
Symmetry-distinct sites (fractional):
Co 0.0000 0.0000 0.0000 (multiplicity 4)  4 W 2.55
Mo 0.0000 0.0000 0.5000 (multiplicity 4)  4 W 2.55
W 0.2500 0.2500 0.7500 (multiplicity 4)  4 Mo 2.55, 4 Co 2.55

=====

# 10
VASP calculation (PBE-GGA) on a relaxed structure of Ag4Pt2Au3.

Properties
DOS at the Fermi energy = 3.23 states/eV/cell
formation enthalpy at 0 K = -1 kJ per mole of atoms

Lattice parameters (Å, degrees): 4.9891 5.0208 7.1466 89.90 87.91 60.51
Closest atoms and distances in Å follow each position.
Space group P-1 (No. 2)
Symmetry-distinct sites (fractional):
Ag 0.0010 0.3352 0.1661 (multiplicity 2)  5 Au 2.86-2.92, 3 Ag 2.87-2.96, 4 Pt 2.88-2.96
Ag 0.3353 0.3355 0.5002 (multiplicity 2)  5 Ag 2.85-2.96, 5 Au 2.87-2.93, 2 Pt 2.92-2.94
Pt 0.3381 0.6664 0.1650 (multiplicity 2)  1 Pt 2.84, 6 Ag 2.88-2.96, 5 Au 2.88-2.90
Au 0.0000 0.0000 0.5000 (multiplicity 1)  2 Pt 2.88, 8 Ag 2.89-2.92, 2 Au 2.94
Au 0.3298 0.9967 0.8334 (multiplicity 2)  6 Ag 2.86-2.93, 4 Pt 2.88-2.90, 2 Au 2.94-2.98

=====

# 11
VASP calculation (PBE-GGA) on a relaxed structure of Pr8ZnGe2.

Properties
DOS at the Fermi energy = 24.49 states/eV/cell
formation enthalpy at 0 K = -30 kJ per mole of atoms

Lattice parameters (Å, degrees): 19.4357 5.0410 7.0006 90.00 103.47 90.00
Closest atoms and distances in Å follow each position.
Space group C2/m (No. 12)
Symmetry-distinct sites (fractional):
Pr 0.0223 0.0000 0.2757 (multiplicity 4)  2 Zn 3.05, 1 Ge 3.15
Pr 0.0927 0.5000 0.9791 (multiplicity 4)  2 Ge 3.40, 1 Zn 3.42, 9 Pr 3.55-3.75
Pr 0.1616 0.5000 0.4959 (multiplicity 4)  3 Ge 3.11-3.13, 1 Zn 3.15, 2 Pr 3.43
Pr 0.2104 0.0000 0.8324 (multiplicity 4)  3 Ge 3.13-3.41, 2 Pr 3.43
Zn 0.0000 0.5000 0.5000 (multiplicity 2)  8 Pr 3.05-3.42
Ge 0.1824 0.0000 0.2544 (multiplicity 4)  9 Pr 3.11-3.41

=====

# 12
VASP calculation (PBE-GGA) on a relaxed structure of Rb2CeSn2S6.

Properties
energy relative to the elements, uncorrected = -992 meV/atom

Lattice parameters (Å, degrees): 12.6952 7.5769 8.5556 90.00 121.68 90.00
Closest atoms and distances in Å follow each position.
Space group C2/m (No. 12)
Symmetry-distinct sites (fractional):
Rb 0.2064 0.0000 0.1874 (multiplicity 4)  5 S 3.35-3.49
Ce 0.0000 0.0000 0.5000 (multiplicity 2)  6 S 2.69-2.76
Sn 0.0385 0.5000 0.1913 (multiplicity 4)  3 S 2.41-2.42
S 0.0586 0.2394 0.7772 (multiplicity 8)  1 Sn 2.42
S 0.2399 0.0000 0.6026 (multiplicity 4)  1 Sn 2.41, 1 Ce 2.69

=====

# 13
VASP calculation (PBE-GGA) on a relaxed structure of Pr2SmCd2.

Properties
DOS at the Fermi energy = 10.01 states/eV/cell
formation enthalpy at 0 K = -19 kJ per mole of atoms
energy relative to the lowest polymorph listed for this composition = 56 meV per atom

Lattice parameters (Å, degrees): 16.3782 5.0582 3.6524 90.00 90.15 90.00
Closest atoms and distances in Å follow each position.
Space group C2/m (No. 12)
Symmetry-distinct sites (fractional):
Pr 0.1183 0.0000 0.4991 (multiplicity 4)  6 Cd 3.39-3.50, 2 Pr 3.65, 4 Sm 3.67-3.68
Sm 0.0000 0.5000 0.0000 (multiplicity 2)  2 Cd 3.26, 2 Sm 3.65
Cd 0.1992 0.5000 0.9982 (multiplicity 4)  2 Cd 3.03, 1 Sm 3.26, 2 Pr 3.39

=====

# 14
VASP calculation (PBE-GGA) on a relaxed structure of TbPmTe2.

Properties
DOS at the Fermi energy = 4.22 states/eV/cell
energy relative to the elements, uncorrected = -1383 meV/atom
energy relative to the lowest polymorph listed for this composition = 0 meV per atom

Lattice parameters (Å, degrees): 4.2885 4.2885 23.0883 90.00 90.00 120.00
Closest atoms and distances in Å follow each position.
Space group R3m (No. 160, hexagonal axes)
Symmetry-distinct sites (fractional):
Tb 0.0000 0.0000 0.0000 (multiplicity 3)  6 Te 3.04-3.15
Pm 0.0000 0.0000 0.1745 (multiplicity 3)  6 Te 3.12-3.23
Te 0.0000 0.0000 0.4177 (multiplicity 3)  3 Tb 3.15, 3 Pm 3.23
Te 0.0000 0.0000 0.5904 (multiplicity 3)  3 Tb 3.04, 3 Pm 3.12

=====

# 15
VASP calculation (PBE-GGA) on a relaxed structure of LiPr2Ni3Sb4.

Properties
DOS at the Fermi energy = 2.81 states/eV/cell
energy relative to the elements, uncorrected = -675 meV/atom

Lattice parameters (Å, degrees): 4.5078 4.5078 10.2443 90.00 90.00 90.00
Closest atoms and distances in Å follow each position.
Space group P-4m2 (No. 115)
Symmetry-distinct sites (fractional):
Li 0.0000 0.0000 0.0000 (multiplicity 1)  4 Sb 2.63
Pr 0.0000 0.5000 0.7532 (multiplicity 2)  2 Li 3.39, 6 Ni 3.39-3.47, 8 Sb 3.39-3.44
Ni 0.0000 0.5000 0.3800 (multiplicity 2)  5 Sb 2.53-2.57
Ni 0.5000 0.5000 0.0000 (multiplicity 1)  4 Sb 2.63
Sb 0.0000 0.0000 0.5000 (multiplicity 1)  4 Ni 2.57
Sb 0.0000 0.5000 0.1330 (multiplicity 2)  3 Ni 2.53-2.63, 2 Li 2.63
Sb 0.5000 0.5000 0.5000 (multiplicity 1)  4 Ni 2.57

=====

# 16
VASP calculation (PBE-GGA) on a relaxed structure of PmTmAlRh.

Properties
DOS at the Fermi energy = 14.60 states/eV/cell
formation enthalpy at 0 K = -49 kJ per mole of atoms

Lattice parameters (Å, degrees): 7.1064 7.1064 7.1064 90.00 90.00 90.00
Closest atoms and distances in Å follow each position.
Space group F-43m (No. 216)
Symmetry-distinct sites (fractional):
Pm 0.0000 0.0000 0.0000 (multiplicity 4)  4 Al 3.08, 4 Rh 3.08
Tm 0.0000 0.0000 0.5000 (multiplicity 4)  4 Al 3.08, 4 Rh 3.08
Al 0.2500 0.2500 0.2500 (multiplicity 4)  4 Pm 3.08, 4 Tm 3.08
Rh 0.2500 0.2500 0.7500 (multiplicity 4)  4 Pm 3.08, 4 Tm 3.08

=====

# 17
VASP calculation (PBE-GGA) on a relaxed structure of Pa2Co4As3Au.

Properties
DOS at the Fermi energy = 6.34 states/eV/cell
formation enthalpy at 0 K = -54 kJ per mole of atoms

Lattice parameters (Å, degrees): 3.8932 3.8932 10.5590 90.00 90.00 90.00
Closest atoms and distances in Å follow each position.
Space group P-4m2 (No. 115)
Symmetry-distinct sites (fractional):
Pa 0.0000 0.5000 0.2470 (multiplicity 2)  8 Co 2.91-3.25, 4 As 3.06
Co 0.0000 0.0000 0.0000 (multiplicity 1)  4 As 2.33
Co 0.0000 0.5000 0.6646 (multiplicity 2)  1 As 2.26
Co 0.5000 0.5000 0.0000 (multiplicity 1)  4 As 2.33
As 0.0000 0.5000 0.8787 (multiplicity 2)  5 Co 2.26-2.33
As 0.5000 0.5000 0.5000 (multiplicity 1)  4 Co 2.61, 4 Au 2.75
Au 0.0000 0.0000 0.5000 (multiplicity 1)  4 Co 2.61, 4 As 2.75

=====

# 18
VASP calculation (PBE-GGA) on a relaxed structure of Er2MnGe3.

Properties
DOS at the Fermi energy = 10.17 states/eV/cell
formation enthalpy at 0 K = -40 kJ per mole of atoms

Lattice parameters (Å, degrees): 11.9722 7.9808 5.1264 90.00 90.00 90.00
Closest atoms and distances in Å follow each position.
Space group Cmcm (No. 63)
Symmetry-distinct sites (fractional):
Er 0.1462 0.1745 0.2500 (multiplicity 8)  7 Ge 2.90-3.13
Mn 0.0000 0.4130 0.7500 (multiplicity 4)  5 Ge 2.32-2.44
Ge 0.0000 0.1218 0.7500 (multiplicity 4)  1 Mn 2.32
Ge 0.1635 0.5000 0.0000 (multiplicity 8)  2 Mn 2.44, 2 Ge 2.56

=====

# 19
VASP calculation (PBE-GGA) on a relaxed structure of LiRuPb.

Properties
DOS at the Fermi energy = 8.75 states/eV/cell
formation enthalpy at 0 K = 37 kJ per mole of atoms
energy relative to the lowest polymorph listed for this composition = 210 meV per atom

Lattice parameters (Å, degrees): 6.2704 6.2704 6.2704 90.00 90.00 90.00
Closest atoms and distances in Å follow each position.
Space group F-43m (No. 216)
Symmetry-distinct sites (fractional):
Li 0.0000 0.0000 0.0000 (multiplicity 4)  4 Ru 2.72
Ru 0.2500 0.2500 0.7500 (multiplicity 4)  4 Pb 2.72, 4 Li 2.72
Pb 0.0000 0.0000 0.5000 (multiplicity 4)  4 Ru 2.72

=====

# 20
VASP calculation (PBE-GGA) on a relaxed structure of Li4Mg2Pb3.

Properties
DOS at the Fermi energy = 2.02 states/eV/cell
formation enthalpy at 0 K = -21 kJ per mole of atoms

Lattice parameters (Å, degrees): 5.2296 5.3202 8.6620 104.91 93.21 118.82
Closest atoms and distances in Å follow each position.
Space group P-1 (No. 2)
Symmetry-distinct sites (fractional):
Li 0.1668 0.3336 0.0004 (multiplicity 2)  4 Li 3.03-3.16, 5 Pb 3.03-3.17, 1 Mg 3.11
Li 0.2986 0.9282 0.3306 (multiplicity 2)  5 Pb 2.98-3.17, 3 Mg 3.04-3.08, 2 Li 3.16-3.20
Mg 0.0331 0.7361 0.6743 (multiplicity 2)  4 Li 3.04-3.11, 5 Pb 3.05-3.23, 1 Mg 3.27
Pb 0.3643 0.3893 0.6662 (multiplicity 2)  6 Li 2.98-3.17, 4 Mg 3.05-3.23
Pb 0.5000 0.0000 0.0000 (multiplicity 1)  8 Li 3.03-3.16, 2 Mg 3.13

=====

Record order is preserved below.
M_tot: 0.00; 3.76; 0.00; 7.36; 0.00; 0.00; 0.00; 0.00; 1.25; 0.00; 0.00; 0.00; 0.00; 0.00; 0.00; 0.00; 0.84; 0.05; 0.00; 0.00 μB per formula unit